Material: RbSmInTe3
Method: DFT, PBE-GGA
State: optimized geometry

a = 8.5236 Å, b = 8.5236 Å, c = 12.2165 Å
α = 90.00°, β = 90.00°, γ = 147.63°
Fractional coordinates of all 12 atoms:
Sm (0.5000, 0.5000, 0.5000)
Sm (0.5000, 0.5000, 0.0000)
Te (0.1283, 0.8717, 0.5389)
In (0.0406, 0.9594, 0.7500)
Rb (0.2527, 0.7473, 0.2500)
Te (0.1283, 0.8717, 0.9611)
Rb (0.7473, 0.2527, 0.7500)
Te (0.4328, 0.5672, 0.7500)
In (0.9594, 0.0406, 0.2500)
Te (0.5672, 0.4328, 0.2500)
Te (0.8717, 0.1283, 0.4611)
Te (0.8717, 0.1283, 0.0389)

Summary:
E_tot ... -3.889 eV per atom
Volume ... 39.60 A^3/atom
Crystal system ... orthorhombic